Here is a relaxed structure of Na2Li2Au from Alexandria via LeMat-Bulk. Energies are from PBE.

```
data_Na2Li2Au
_chemical_formula_sum 'Na4 Li4 Au2'
_cell_length_a 3.7356
_cell_length_b 3.7356
_cell_length_c 18.2196
_cell_angle_alpha 90.00
_cell_angle_beta 90.00
_cell_angle_gamma 90.00
_space_group_name_H-M_alt 'I 4/m m m'
_space_group_IT_number 139
_space_group_name_Hall '-I 4 2'
loop_
_atom_site_label
_atom_site_type_symbol
_atom_site_fract_x
_atom_site_fract_y
_atom_site_fract_z
_atom_site_occupancy
Na1 Na 0.0000 0.0000 0.0901 1
Li1 Li 0.0000 0.5000 0.2500 1
Au1 Au 0.0000 0.0000 0.5000 1
```

Summary:
Polymorph energy (0 for the lowest one): 163 meV/atom
V: 25.43 A^3/atom
Crystal system: tetragonal